A plane-wave DFT calculation with PBE was carried out for a relaxed structure of Pt.

The structure in CIF format:
```
data_Pt
_chemical_formula_sum 'Pt4'
_cell_length_a 2.7941
_cell_length_b 2.7941
_cell_length_c 9.1938
_cell_angle_alpha 90.00
_cell_angle_beta 90.00
_cell_angle_gamma 120.00
_symmetry_space_group_name_H-M 'P 63/m m c'
_symmetry_Int_Tables_number 194
_symmetry_space_group_name_Hall '-P 6c 2c'
loop_
_atom_site_label
_atom_site_type_symbol
_atom_site_fract_x
_atom_site_fract_y
_atom_site_fract_z
_atom_site_occupancy
Pt1 Pt 0.0000 0.0000 0.0000 1
Pt2 Pt 0.3333 0.6667 0.2500 1
```

Calculated values
- ΔE to the lowest computed polymorph: 31.6 meV/atom
- Energy of formation from the pure elements: 0.03 eV/atom

---

A plane-wave DFT calculation with PBE was carried out for a relaxed structure of CsNbCl6.

The structure in CIF format:
```
data_CsNbCl6
_chemical_formula_sum 'Cs4 Nb4 Cl24'
_cell_length_a 12.286
_cell_length_b 6.506
_cell_length_c 12.428
_cell_angle_alpha 90.00
_cell_angle_beta 102.50
_cell_angle_gamma 90.00
_symmetry_space_group_name_H-M 'C 1 c 1'
_symmetry_Int_Tables_number 9
loop_
_symmetry_equiv_pos_as_xyz
'x,y,z'
'x,-y,z+1/2'
'x+1/2,y+1/2,z'
'x+1/2,-y+1/2,z+1/2'
loop_
_atom_site_label
_atom_site_type_symbol
_atom_site_fract_x
_atom_site_fract_y
_atom_site_fract_z
_atom_site_occupancy
Cs1 Cs 0.000 0.122 0.000 1
Nb1 Nb 0.249 0.251 0.750 1
Cl1 Cl 0.078 0.377 0.643 1
Cl2 Cl 0.155 0.048 0.292 1
Cl3 Cl 0.213 0.420 0.909 1
Cl4 Cl 0.286 0.082 0.592 1
Cl5 Cl 0.344 0.451 0.208 1
Cl6 Cl 0.421 0.124 0.858 1
```

Calculated values
- ΔE to the lowest computed polymorph: 0.0 meV/atom

---

A plane-wave DFT calculation with PBE was carried out for a relaxed structure of Nb2Si2Os.

The structure in CIF format:
```
data_Nb2Si2Os
_chemical_formula_sum 'Nb4 Si4 Os2'
_cell_length_a 6.123
_cell_length_b 6.123
_cell_length_c 4.115
_cell_angle_alpha 90.00
_cell_angle_beta 90.00
_cell_angle_gamma 90.00
_symmetry_space_group_name_H-M 'P 4/m b m'
_symmetry_Int_Tables_number 127
_symmetry_space_group_name_Hall '-P 4 2ab'
loop_
_atom_site_label
_atom_site_type_symbol
_atom_site_fract_x
_atom_site_fract_y
_atom_site_fract_z
_atom_site_occupancy
Nb1 Nb 0.160 0.340 0.000 1
Si1 Si 0.138 0.638 0.500 1
Os1 Os 0.000 0.000 0.500 1
```

Calculated values
- VASP energy: -9.02 eV/atom